(1)
Material: CsTeRhPb2
Method: DFT, PBE
State: optimized geometry

Calculated values
Calculated total energy = -2.448 eV/atom
Space group = P4/mmm (123)

Geometry as POSCAR:
```
CsTeRhPb2
1.0
6.3966 0.0000 0.0000
0.0000 6.3966 0.0000
0.0000 0.0000 4.9440
Cs Te Rh Pb
1 1 1 2
direct
0.0000 0.0000 0.0000 Cs
0.5000 0.5000 0.5000 Te
0.0000 0.0000 0.5000 Rh
0.0000 0.5000 0.0000 Pb
0.5000 0.0000 0.0000 Pb
```

(2)
Material: MgCo2Te
Method: DFT, PBE
State: optimized geometry

Calculated values
Relative energy among the computed polymorphs = 0.000 eV per atom
Calculated total energy = -4.663 eV/atom
Space group = R3m (160)

Geometry as POSCAR:
```
MgCo2Te
1.0
3.9990 0.0000 0.0000
-1.9995 3.4632 0.0000
0.0000 0.0000 16.1163
Mg Co Te
3 6 3
direct
0.0000 0.0000 0.0000 Mg
0.3333 0.6667 0.6667 Mg
0.6667 0.3333 0.3333 Mg
0.0000 0.0000 0.2249 Co
0.0000 0.0000 0.5693 Co
0.3333 0.6667 0.2360 Co
0.3333 0.6667 0.8916 Co
0.6667 0.3333 0.5583 Co
0.6667 0.3333 0.9027 Co
0.0000 0.0000 0.8087 Te
0.3333 0.6667 0.4753 Te
0.6667 0.3333 0.1420 Te
```

(3)
Material: Sc2TlIrC
Method: DFT, PBE
State: optimized geometry

Calculated values
Calculated total energy = -7.075 eV/atom
Space group = P4/mmm (123)

Geometry as POSCAR:
```
Sc2TlIrC
1.0
4.6441 0.0000 0.0000
0.0000 4.6441 0.0000
0.0000 0.0000 4.0004
Sc Tl Ir C
2 1 1 1
direct
0.0000 0.5000 0.0000 Sc
0.5000 0.0000 0.0000 Sc
0.0000 0.0000 0.5000 Tl
0.5000 0.5000 0.5000 Ir
0.5000 0.5000 0.0000 C
```